This record from Alexandria via LeMat-Bulk describes a relaxed Er6InSb2 crystal. The functional is GGA-PBE.

Computed properties:
total DFT energy (no corrections)	-78.891	eV/cell
magnetization	0.190	μB/f.u.
ρ	7.08	g/cm3
calculated volume	35.48	Å³/atom

a b c (Å): 6.874 6.874 13.517
angles (deg): 90.00 90.00 90.00
Atoms (fractional coordinates):
Er 0.802 0.198 0.169
Er 0.198 0.802 0.169
Er 0.298 0.298 0.000
Er 0.302 0.302 0.331
Er 0.198 0.802 0.831
Er 0.702 0.702 0.000
Er 0.698 0.698 0.331
Er 0.802 0.198 0.831
Er 0.302 0.302 0.669
Er 0.202 0.798 0.500
Er 0.698 0.698 0.669
Er 0.798 0.202 0.500
Sb 0.500 0.500 0.164
Sb 0.000 0.000 0.664
Sb 0.000 0.000 0.336
Sb 0.500 0.500 0.836
In 0.000 0.000 0.000
In 0.500 0.500 0.500



This record from Alexandria via LeMat-Bulk describes a relaxed V3TeRu crystal. The functional is GGA-PBE.

Computed properties:
total DFT energy (no corrections)	-35.715	eV/cell
magnetization	3.855	μB/f.u.
ρ	6.37	g/cm3
calculated volume	19.89	Å³/atom

a b c (Å): 4.633 4.633 4.633
angles (deg): 90.00 90.00 90.00
Last column: magnetic moment on the atom in μB.
Atoms (fractional coordinates):
Ru 0.000 0.000 0.000  -0.26
V 0.000 0.000 0.500  1.23
V 0.500 0.000 0.000  1.23
V 0.000 0.500 0.000  1.23
Te 0.500 0.500 0.500  -0.08



The ΔE_f (raw) results, record by record, are as follows: -121, 812 meV/atom.